Here is a relaxed structure of SmHoGa5Pt2 from Alexandria. Energies are from PBE.

## Properties
VASP energy ... -39.7 eV for the cell shown

The structure in extended XYZ format:
```
9
Lattice="4.789 0.000 0.000 0.000 4.789 0.000 0.000 0.000 8.927" Properties=species:S:1:pos:R:3 pbc="T T T"
Sm 0.000 0.000 0.000
Ho 0.000 0.000 4.464
Ga 0.000 2.394 2.625
Ga 0.000 2.394 6.302
Ga 2.394 0.000 2.625
Ga 2.394 0.000 6.302
Ga 2.394 2.394 0.000
Pt 2.394 2.394 2.337
Pt 2.394 2.394 6.590
```

Here is a relaxed structure of MnPCl from Alexandria. Energies are from PBE.

## Properties
VASP energy ... -15.9 eV for the cell shown
Energy relative to the elements, uncorrected ... 176 meV per atom
Relative energy among the computed polymorphs ... 0.579 eV/atom

The structure in extended XYZ format:
```
3
Lattice="0.000 3.047 3.047 3.047 0.000 3.047 3.047 3.047 0.000" Properties=species:S:1:pos:R:3 pbc="T T T"
Mn 0.000 0.000 0.000
P 1.524 1.524 1.524
Cl 4.571 4.571 4.571
```

Here is a relaxed structure of SmZn2Hg from Alexandria. Energies are from PBE.

## Properties
VASP energy ... -17.5 eV for the cell shown
Relative energy among the computed polymorphs ... 0.000 eV/atom

The structure in extended XYZ format:
```
8
Lattice="1.858 -10.190 0.000 1.858 10.190 0.000 0.000 0.000 4.579" Properties=species:S:1:pos:R:3 pbc="T T T"
Sm 1.858 8.210 3.434
Sm 1.858 -8.210 1.145
Zn 1.858 4.824 1.145
Zn 1.858 0.556 3.434
Zn 1.858 -0.556 1.145
Zn 1.858 -4.824 3.434
Hg 1.858 3.282 3.434
Hg 1.858 -3.282 1.145
```

Here is a relaxed structure of AlPd3Ru from Alexandria. Energies are from PBE.

## Properties
VASP energy ... -23.0 eV for the cell shown
Relative energy among the computed polymorphs ... 0.463 eV/atom

The structure in extended XYZ format:
```
5
Lattice="4.787 0.000 0.000 0.000 4.787 0.000 0.000 0.000 4.787" Properties=species:S:1:pos:R:3 pbc="T T T"
Al 0.000 0.000 0.000
Pd 0.000 2.393 2.393
Pd 2.393 0.000 2.393
Pd 2.393 2.393 0.000
Ru 2.393 2.393 2.393
```

Here is a relaxed structure of In2AgPt from Alexandria. Energies are from PBE.

## Properties
VASP energy ... -15.1 eV for the cell shown
Relative energy among the computed polymorphs ... 0.028 eV/atom

The structure in extended XYZ format:
```
4
Lattice="3.363 0.000 0.000 0.000 3.597 0.000 0.000 0.000 6.423" Properties=species:S:1:pos:R:3 pbc="T T T"
In 0.000 0.000 1.524
In 0.000 0.000 4.899
Ag 1.681 1.799 3.212
Pt 1.681 1.799 0.000
```

Here is a relaxed structure of Na3In9Ge2 from Alexandria. Energies are from PBE.

## Properties
VASP energy ... -38.3 eV for the cell shown

The structure in extended XYZ format:
```
14
Lattice="-2.528 5.592 6.613 2.528 -5.592 6.613 2.528 5.592 -6.613" Properties=species:S:1:pos:R:3 pbc="T T T"
Na 0.000 0.000 0.000
Na 0.000 0.000 3.871
Na 0.000 0.000 9.354
In 2.528 -1.468 1.777
In 2.528 -2.436 4.643
In 2.528 1.468 1.777
In 0.000 3.156 1.970
In 0.000 5.592 0.000
In 2.528 2.436 4.643
In 0.000 4.124 4.836
In 0.000 8.028 1.970
In 0.000 7.060 4.836
Ge 2.528 3.739 0.000
Ge 0.000 1.853 6.613
```

Here is a relaxed structure of Hf2PaMoC4 from Alexandria. Energies are from PBE.

## Properties
VASP energy ... -160.4 eV for the cell shown

The structure in extended XYZ format:
```
16
Lattice="1.657 -5.796 0.000 1.657 5.796 0.000 0.000 0.000 11.506" Properties=species:S:1:pos:R:3 pbc="T T T"
Hf 1.657 4.287 6.177
Hf 1.657 4.287 11.082
Hf 1.657 -4.287 0.424
Hf 1.657 -4.287 5.329
Pa 1.657 1.361 8.629
Pa 1.657 -1.361 2.876
Mo 1.657 1.711 2.876
Mo 1.657 -1.711 8.629
C 1.657 5.321 8.629
C 1.657 3.029 1.379
C 1.657 3.029 4.374
C 1.657 0.000 0.000
C 1.657 0.000 5.753
C 1.657 -3.029 7.132
C 1.657 -3.029 10.127
C 1.657 -5.321 2.876
```

Here is a relaxed structure of Tb2Pm6Nd3 from Alexandria. Energies are from PBE.

## Properties
VASP energy ... -51.9 eV for the cell shown
Relative energy among the computed polymorphs ... 0.000 eV/atom

The structure in extended XYZ format:
```
11
Lattice="1.820 1.051 32.718 -1.820 1.051 32.718 0.000 -2.102 32.718" Properties=species:S:1:pos:R:3 pbc="T T T"
Tb 0.000 0.000 4.425
Tb 0.000 0.000 93.728
Pm 0.000 0.000 13.356
Pm 0.000 0.000 31.218
Pm 0.000 0.000 40.064
Pm 0.000 0.000 58.090
Pm 0.000 0.000 66.936
Pm 0.000 0.000 84.797
Nd 0.000 0.000 22.361
Nd 0.000 0.000 49.077
Nd 0.000 0.000 75.793
```

Here is a relaxed structure of Ge2Se from Alexandria. Energies are from PBE.

## Properties
VASP energy ... -25.5 eV for the cell shown
Energy relative to the elements, uncorrected ... -11 meV per atom
Relative energy among the computed polymorphs ... 0.042 eV/atom

The structure in extended XYZ format:
```
6
Lattice="3.439 -1.988 0.000 3.439 1.988 0.000 -2.314 0.000 10.625" Properties=species:S:1:pos:R:3 pbc="T T T"
Ge 0.000 0.000 0.000
Ge -0.023 0.000 5.612
Ge 2.262 0.000 3.573
Ge 2.273 0.000 6.611
Se 2.271 0.000 9.205
Se 4.560 0.000 2.180
```

Here is a relaxed structure of Mg2TcOs from Alexandria. Energies are from PBE.

## Properties
VASP energy ... -23.8 eV for the cell shown
Relative energy among the computed polymorphs ... 0.233 eV/atom

The structure in extended XYZ format:
```
4
Lattice="2.694 -4.515 0.000 2.694 4.515 0.000 -0.856 0.000 2.574" Properties=species:S:1:pos:R:3 pbc="T T T"
Mg 1.347 2.257 0.000
Mg 1.347 -2.257 0.000
Tc -0.428 0.000 1.287
Os 2.266 0.000 1.287
```

Here is a relaxed structure of K2Sr5Bi3O2 from Alexandria. Energies are from PBE.

## Properties
VASP energy ... -48.6 eV for the cell shown
Energy relative to the elements, uncorrected ... -1368 meV per atom

The structure in extended XYZ format:
```
12
Lattice="-2.544 2.544 15.320 2.544 -2.544 15.320 2.544 2.544 -15.320" Properties=species:S:1:pos:R:3 pbc="T T T"
K 0.000 0.000 6.381
K 0.000 0.000 24.259
Sr 0.000 0.000 0.000
Sr 2.544 0.000 2.854
Sr 2.544 0.000 12.467
Sr 0.000 2.544 2.854
Sr 0.000 2.544 12.467
Bi 0.000 0.000 10.110
Bi 0.000 0.000 15.320
Bi 0.000 0.000 20.531
O 0.000 0.000 2.459
O 0.000 0.000 28.181
```

Here is a relaxed structure of Cr2Si2Pb from Alexandria. Energies are from PBE.

## Properties
VASP energy ... -33.0 eV for the cell shown
Energy relative to the elements, uncorrected ... 160 meV per atom
Relative energy among the computed polymorphs ... 0.000 eV/atom

The structure in extended XYZ format:
```
5
Lattice="-1.731 1.731 6.390 1.731 -1.731 6.390 1.731 1.731 -6.390" Properties=species:S:1:pos:R:3 pbc="T T T"
Cr 0.000 0.000 1.463
Cr 0.000 0.000 11.317
Si 1.731 0.000 3.195
Si 0.000 1.731 3.195
Pb 0.000 0.000 6.390
```